! LiDySc2 (PBE, optimized geometry); values from VASP
! uncorrected energy: -18.26 eV/cell
! formation energy from the elements: 0.23 eV/atom
! total moment: 0.0 μB/cell
&SYSTEM
  ibrav = 0, nat = 4, ntyp = 3
/
ATOMIC_SPECIES
Li 6.94 Li.upf
Dy 162.50 Dy.upf
Sc 44.96 Sc.upf
ATOMIC_POSITIONS crystal
Li 0.000 0.000 0.000
Dy 0.500 0.500 0.000
Sc 0.000 0.500 0.500
Sc 0.500 0.000 0.500
CELL_PARAMETERS angstrom
5.297 0.000 0.000
0.000 5.297 0.000
0.000 0.000 3.590